[1]
Crystalline SmDyTlAu at its relaxed geometry. Source: Alexandria, functional PBE.

Cell lengths 3.656, 3.656, 7.806 Å; angles 90.00, 90.00, 90.00 degrees
Positions (direct):
Sm 0.000 0.000 0.000
Dy 0.000 0.000 0.460
Tl 0.500 0.500 0.726
Au 0.500 0.500 0.251

Values from the calculation:
The calculation puts the formation enthalpy at 0 K at -601 meV/atom. The crystal system is tetragonal.


[2]
Crystalline NdCd2Sn at its relaxed geometry. Source: Alexandria, functional PBE.

Cell lengths 3.375, 3.375, 34.866 Å; angles 90.00, 90.00, 120.00 degrees
Positions (direct):
Nd 0.000 0.000 0.000
Nd 0.333 0.667 0.667
Nd 0.667 0.333 0.333
Cd 0.000 0.000 0.092
Cd 0.000 0.000 0.908
Cd 0.333 0.667 0.575
Cd 0.333 0.667 0.758
Cd 0.667 0.333 0.242
Cd 0.667 0.333 0.425
Sn 0.000 0.000 0.500
Sn 0.333 0.667 0.167
Sn 0.667 0.333 0.833

Values from the calculation:
The calculation puts the formation enthalpy at 0 K at 161 meV/atom. The crystal system is trigonal.